This record from the Alexandria database describes an optimized crystal structure of NbZnFe2O6. The functional is PBE with a Hubbard U.

Properties
* density: 5.475 Mg/m³
* E_tot: -68.74 eV for the cell shown
* density of states at the Fermi level: 0.000 states/eV per cell

```
10
Lattice="5.160 0.000 0.000 -2.529 4.500 0.000 -2.389 -1.559 4.781" Properties=species:S:1:pos:R:3 pbc="T T T"
Nb 0.000 0.000 0.000
Zn 2.646 1.493 2.035
Fe 0.074 3.000 0.431
Fe 0.162 -0.022 2.949
O -0.627 1.444 1.414
O -1.584 0.036 3.991
O 1.624 -0.120 1.437
O -1.498 2.813 3.988
O 1.794 3.169 1.389
O 1.289 1.520 3.933
```